A relaxed Co2CuRh crystal, computed with GGA-PBE.

Results
Calculated volume ... 48.9 Å³/f.u.
E ... -6.311 eV/atom

```
data_Co2CuRh
_chemical_formula_sum 'Co2 Cu1 Rh1'
_cell_length_a 2.616
_cell_length_b 3.600
_cell_length_c 5.194
_cell_angle_alpha 90.00
_cell_angle_beta 90.00
_cell_angle_gamma 90.00
_symmetry_space_group_name_H-M 'P m m 2'
_symmetry_Int_Tables_number 25
loop_
_symmetry_equiv_pos_as_xyz
'x,y,z'
'-x,-y,z'
'-x,y,z'
'x,-y,z'
loop_
_atom_site_label
_atom_site_type_symbol
_atom_site_fract_x
_atom_site_fract_y
_atom_site_fract_z
Co1 Co 0.000 0.000 0.000
Co2 Co 0.500 0.500 0.234
Cu1 Cu 0.000 0.000 0.478
Rh1 Rh 0.500 0.500 0.743
```